[1]
Density functional theory data (PBE) for a relaxed Rb2TlGaHg6 crystal.

a b c (Å): 8.336 7.761 8.359
angles (deg): 75.05 46.10 93.82
Fractional coordinates of all 10 atoms:
Rb (0.765, 0.224, 0.544)
Rb (0.235, 0.776, 0.456)
Hg (0.761, 0.615, 0.132)
Hg (0.752, 0.235, 0.014)
Hg (0.736, 0.760, 0.487)
Hg (0.239, 0.385, 0.868)
Hg (0.264, 0.240, 0.513)
Hg (0.248, 0.765, 0.986)
Tl (0.500, 0.500, 0.000)
Ga (0.000, 0.000, 0.000)

* space-group type: No. 2
* final energy: -1.0249 eV/atom
* calculated formation energy: -0.11 eV per atom

[2]
Density functional theory data (PBE) for a relaxed RbZnGaHg2 crystal.

a b c (Å): 5.484 5.484 5.168
angles (deg): 90.00 90.00 90.00
Fractional coordinates of all 5 atoms:
Rb (0.500, 0.500, 0.500)
Zn (0.000, 0.000, 0.500)
Ga (0.000, 0.000, 0.000)
Hg (0.000, 0.500, 0.000)
Hg (0.500, 0.000, 0.000)

* distance to the lowest polymorph of the same formula: 0 meV per atom
* space-group type: No. 123
* final energy: -1.1948 eV/atom
* calculated formation energy: -0.02 eV per atom

[3]
Density functional theory data (PBE) for a relaxed RbZnGaHg2 crystal.

a b c (Å): 5.469 5.469 5.041
angles (deg): 90.00 90.00 90.00
Fractional coordinates of all 5 atoms:
Rb (0.500, 0.500, 0.500)
Hg (0.500, 0.000, 0.000)
Hg (0.000, 0.500, 0.000)
Ga (0.000, 0.000, 0.500)
Zn (0.000, 0.000, 0.000)

* distance to the lowest polymorph of the same formula: 7 meV per atom
* space-group type: No. 123
* final energy: -1.1874 eV/atom
* calculated formation energy: -0.01 eV per atom

The highest final energy belongs to which entry? Rb2TlGaHg6

Among the records above, which one has the lowest final energy? number 2

Which value of calculated formation energy does entry 3 give? -0.01 eV per atom

The lowest calculated formation energy belongs to which entry? Rb2TlGaHg6